Entry from Alexandria via LeMat-Bulk: NaVSiCO7 after structural relaxation (PBE+U).

Results
* symmetry: No. 4
* DFT total energy: -0.2651 Ha/atom
* N(E_F): 0.000 states/eV per atom

abc: 6.4085 5.5091 9.3750
angles: 87.33 90.00 90.00
Closest atoms and distances in Å follow each position.
Positions (direct):
1 O 0.7650 0.5199 0.2032  1 C 1.33
2 V 0.7421 0.7774 0.3491  6 O 1.81-2.02
3 O 0.0463 0.7939 0.3413  1 Si 1.61
4 C 0.2494 0.3161 0.9051  3 O 1.23-1.34
5 O 0.7513 0.5449 0.4921  1 Si 1.65, 1 V 1.81
6 Si 0.7463 0.2613 0.5576  4 O 1.61-1.65
7 O 0.2513 0.4551 0.5079  1 Si 1.65, 1 V 1.81
8 C 0.7494 0.6839 0.0949  3 O 1.23-1.34
9 O 0.2563 0.9215 0.5757  1 Si 1.64, 1 V 1.83
10 O 0.4586 0.7802 0.3467  1 Si 1.64, 1 V 1.82
11 V 0.2421 0.2226 0.6509  6 O 1.81-2.02
12 O 0.7563 0.0785 0.4243  1 Si 1.64, 1 V 1.83
13 Na 0.5047 0.8036 0.8098  3 O 2.25-2.36
14 Si 0.2463 0.7387 0.4424  4 O 1.61-1.65
15 O 0.5463 0.2061 0.6587  1 Si 1.61
16 O 0.2650 0.4801 0.7968  1 C 1.33
17 O 0.2369 0.3581 0.0323  1 C 1.23
18 O 0.7452 0.9057 0.1487  1 C 1.34
19 O 0.7369 0.6419 0.9677  1 C 1.23
20 O 0.9586 0.2198 0.6533  1 Si 1.64, 1 V 1.82
21 O 0.2452 0.0943 0.8513  1 C 1.34
22 Na 0.0047 0.1964 0.1902  3 O 2.25-2.36